{
  "formula": "Mn6O5F7",
  "functional": "GGA+U",
  "state": "relaxed",
  "lattice_angstrom": [[-2.6845, 1.3662, 3.5576], [4.0815, -1.2118, 3.7526], [3.0238, 7.2874, -0.2408]],
  "species": ["Mn", "Mn", "Mn", "Mn", "Mn", "Mn", "F", "F", "F", "F", "F", "F", "F", "O", "O", "O", "O", "O"],
  "fractional_positions": [[0.9815, 0.6655, 0.3173], [0.9675, 0.3296, 0.6838], [0.5567, 0.8286, 0.6586], [0.4937, 0.1654, 0.3302], [0.5149, 0.5113, 0.0128], [0.9974, 0.9914, 0.9938], [0.2200, 0.2820, 0.9165], [0.2241, 0.9716, 0.2109], [0.1538, 0.6206, 0.5578], [0.7319, 0.2024, 0.1149], [0.2914, 0.8009, 0.8892], [0.7668, 0.3595, 0.4382], [0.2784, 0.1362, 0.5588], [0.6941, 0.8853, 0.4140], [0.6907, 0.5294, 0.7875], [0.3096, 0.4566, 0.2338], [0.8121, 0.0457, 0.7876], [0.8155, 0.7181, 0.0943]],
  "total_magnetization_mub_per_cell": 15.00,
  "relative_energy_mev_per_atom": 216,
  "volume_a3_per_atom": 11.57,
  "density_g_cm3": 4.3,
  "e_tot_ev_per_atom": -6.464
}

---

{
  "formula": "Mn6OF11",
  "functional": "GGA+U",
  "state": "relaxed",
  "lattice_angstrom": [[5.9184, 0.0017, -0.0072], [1.9551, 5.5862, -0.0072], [2.2872, 1.6232, 7.2377]],
  "species": ["Mn", "Mn", "Mn", "Mn", "Mn", "Mn", "F", "F", "F", "F", "F", "F", "F", "F", "F", "F", "F", "O"],
  "fractional_positions": [[0.3533, 0.3310, 0.1579], [0.9753, 0.0247, 0.0000], [0.6690, 0.6467, 0.8421], [0.0016, 0.9984, 0.5000], [0.6734, 0.6624, 0.3324], [0.3376, 0.3266, 0.6676], [0.2809, 0.7191, 0.0000], [0.5683, 0.5604, 0.6302], [0.3655, 0.9686, 0.3355], [0.4396, 0.4317, 0.3698], [0.9879, 0.3624, 0.3300], [0.2199, 0.2333, 0.9671], [0.8995, 0.9059, 0.2914], [0.0941, 0.1005, 0.7086], [0.6376, 0.0121, 0.6700], [0.7667, 0.7801, 0.0329], [0.0314, 0.6345, 0.6645], [0.6984, 0.3016, 0.0000]],
  "total_magnetization_mub_per_cell": 29.00,
  "dos_at_fermi_per_ev_cell": 2.53,
  "relative_energy_mev_per_atom": 0,
  "volume_a3_per_atom": 13.30,
  "density_g_cm3": 3.8,
  "e_tot_ev_per_atom": -6.458
}

---

{
  "formula": "MnOF3",
  "functional": "GGA+U",
  "state": "relaxed",
  "lattice_angstrom": [[3.8814, 0.0000, 0.0000], [0.0000, 3.8814, 0.0000], [0.0000, 0.0000, 3.8814]],
  "species": ["F", "F", "F", "O", "Mn"],
  "fractional_positions": [[0.0000, 0.0000, 0.5000], [0.0000, 0.5000, 0.0000], [0.5000, 0.0000, 0.0000], [0.0000, 0.0000, 0.0000], [0.5000, 0.5000, 0.5000]],
  "total_magnetization_mub_per_cell": 5.09,
  "dos_at_fermi_per_ev_cell": 1.45,
  "volume_a3_per_atom": 11.69,
  "density_g_cm3": 3.6,
  "e_tot_ev_per_atom": -4.119
}

---

{
  "formula": "Mn2OF3",
  "functional": "GGA+U",
  "state": "relaxed",
  "lattice_angstrom": [[3.1411, 0.0000, -0.0014], [0.0000, 5.1392, -0.0006], [0.0050, 0.0016, 10.4215]],
  "species": ["F", "F", "F", "F", "F", "F", "O", "O", "Mn", "Mn", "Mn", "Mn"],
  "fractional_positions": [[0.7443, 0.2817, 0.9600], [0.2445, 0.8315, 0.5360], [0.7443, 0.2183, 0.4600], [0.7443, 0.8343, 0.2699], [0.2445, 0.6685, 0.0360], [0.7443, 0.6657, 0.7699], [0.2443, 0.3326, 0.2209], [0.2443, 0.1674, 0.7209], [0.2442, 0.0557, 0.3522], [0.7443, 0.4999, 0.1414], [0.7443, 0.0001, 0.6414], [0.2441, 0.4443, 0.8522]],
  "total_magnetization_mub_per_cell": 18.00,
  "dos_at_fermi_per_ev_cell": 2.01,
  "relative_energy_mev_per_atom": 55,
  "volume_a3_per_atom": 14.02,
  "density_g_cm3": 3.6,
  "e_tot_ev_per_atom": -6.514
}

---

{
  "formula": "Mn2O3F",
  "functional": "GGA+U",
  "state": "relaxed",
  "lattice_angstrom": [[0.3532, 1.5247, 7.1282], [-0.6843, -6.3544, -3.5233], [6.3386, -0.5769, -0.1906]],
  "species": ["Mn", "Mn", "Mn", "Mn", "Mn", "Mn", "Mn", "Mn", "O", "O", "O", "O", "O", "O", "O", "O", "O", "O", "O", "O", "F", "F", "F", "F"],
  "fractional_positions": [[0.1236, 0.3737, 0.2500], [0.1263, 0.8737, 0.2500], [0.3737, 0.1236, 0.7500], [0.6219, 0.3781, 0.2500], [0.3781, 0.6219, 0.7500], [0.6263, 0.8764, 0.2500], [0.8737, 0.1263, 0.7500], [0.8764, 0.6263, 0.7500], [0.5313, 0.4687, 0.7500], [0.4687, 0.5313, 0.2500], [0.6270, 0.8764, 0.9414], [0.6270, 0.8764, 0.5586], [0.3730, 0.1236, 0.4414], [0.1236, 0.3730, 0.9414], [0.8764, 0.6270, 0.0586], [0.2192, 0.7808, 0.7500], [0.1236, 0.3730, 0.5586], [0.7808, 0.2192, 0.2500], [0.8764, 0.6270, 0.4414], [0.3730, 0.1236, 0.0586], [0.7321, 0.2679, 0.7500], [0.2679, 0.7321, 0.2500], [0.9838, 0.0162, 0.2500], [0.0162, 0.9838, 0.7500]],
  "total_magnetization_mub_per_cell": 28.00,
  "dos_at_fermi_per_ev_cell": 4.90,
  "relative_energy_mev_per_atom": 38,
  "volume_a3_per_atom": 10.64,
  "density_g_cm3": 4.6,
  "e_tot_ev_per_atom": -6.864
}

---

{
  "formula": "Mn8O13F3",
  "functional": "GGA+U",
  "state": "relaxed",
  "lattice_angstrom": [[5.5187, 0.0006, 0.0007], [-0.0359, 6.6970, 0.0032], [-0.0746, -0.7097, 6.7148]],
  "species": ["Mn", "Mn", "Mn", "Mn", "Mn", "Mn", "Mn", "Mn", "O", "O", "O", "O", "O", "O", "O", "O", "O", "O", "O", "O", "O", "F", "F", "F"],
  "fractional_positions": [[0.8582, 0.1200, 0.8657], [0.8541, 0.6318, 0.3722], [0.6480, 0.1299, 0.3743], [0.1158, 0.3777, 0.6249], [0.1728, 0.8651, 0.1229], [0.6682, 0.6220, 0.8843], [0.3578, 0.3732, 0.1244], [0.3534, 0.8728, 0.6254], [0.6120, 0.8500, 0.4264], [0.1019, 0.3293, 0.9029], [0.1156, 0.9195, 0.8455], [0.6142, 0.3397, 0.9222], [0.6167, 0.9005, 0.8295], [0.8845, 0.5794, 0.6526], [0.1144, 0.8315, 0.4019], [0.6074, 0.4127, 0.3283], [0.8836, 0.1706, 0.5967], [0.8974, 0.6787, 0.1012], [0.3942, 0.6490, 0.0712], [0.3880, 0.0964, 0.1778], [0.0996, 0.4210, 0.3460], [0.3784, 0.5705, 0.6708], [0.8958, 0.0800, 0.1449], [0.3679, 0.1788, 0.5882]],
  "total_magnetization_mub_per_cell": 27.00,
  "dos_at_fermi_per_ev_cell": 4.01,
  "relative_energy_mev_per_atom": 24,
  "volume_a3_per_atom": 10.34,
  "density_g_cm3": 4.7,
  "e_tot_ev_per_atom": -6.924
}